CaW6NCl18 (SCAN, PBEsol geometry); E_tot = -23.37 eV/atom; mass density = 4.8 Mg/m³; uncorrected formation energy = -2606 kJ/mol of formula units; DOS at the Fermi energy = 16.72 states/eV per cell; M_tot = 2.09 μB/cell
1.0
-4.7893 7.1440 -2.6935
-1.9476 -8.1973 -3.2001
-11.2935 -2.5332 13.3621
Ca W N Cl
2 12 2 36
Direct
0.0000 0.0000 0.5000 Ca
0.0000 0.0000 0.0000 Ca
0.7023 0.1851 0.6636 W
0.2977 0.8149 0.3364 W
0.8149 0.5172 0.6636 W
0.2977 0.8149 0.1636 W
0.1851 0.4828 0.3364 W
0.7023 0.1851 0.8364 W
0.4828 0.2977 0.6636 W
0.1851 0.4828 0.1636 W
0.5172 0.7023 0.3364 W
0.8149 0.5172 0.8364 W
0.5172 0.7023 0.1636 W
0.4828 0.2977 0.8364 W
0.6667 0.3333 0.7500 N
0.3333 0.6667 0.2500 N
0.4166 0.4675 0.7500 Cl
0.5834 0.5325 0.2500 Cl
0.5325 0.9492 0.7500 Cl
0.4675 0.0508 0.2500 Cl
0.0508 0.5834 0.7500 Cl
0.9492 0.4166 0.2500 Cl
0.8905 0.3759 0.5701 Cl
0.1095 0.6241 0.4299 Cl
0.6241 0.5146 0.5701 Cl
0.1095 0.6241 0.0701 Cl
0.3759 0.4854 0.4299 Cl
0.8905 0.3759 0.9299 Cl
0.4854 0.1095 0.5701 Cl
0.3759 0.4854 0.0701 Cl
0.5146 0.8905 0.4299 Cl
0.6241 0.5146 0.9299 Cl
0.5146 0.8905 0.0701 Cl
0.4854 0.1095 0.9299 Cl
0.9215 0.2057 0.7500 Cl
0.0785 0.7943 0.2500 Cl
0.7943 0.7158 0.7500 Cl
0.2057 0.2842 0.2500 Cl
0.2842 0.0785 0.7500 Cl
0.7158 0.9215 0.2500 Cl
0.2238 0.2518 0.5972 Cl
0.7762 0.7482 0.4028 Cl
0.7482 0.9720 0.5972 Cl
0.7762 0.7482 0.0972 Cl
0.2518 0.0280 0.4028 Cl
0.2238 0.2518 0.9028 Cl
0.0280 0.7762 0.5972 Cl
0.2518 0.0280 0.0972 Cl
0.9720 0.2238 0.4028 Cl
0.7482 0.9720 0.9028 Cl
0.9720 0.2238 0.0972 Cl
0.0280 0.7762 0.9028 Cl